(1)
The following is a PBE calculation of Tb4CeTm7 after structural relaxation, from Alexandria. Values from VASP.

The structure in Quantum ESPRESSO input format:
```
&SYSTEM
  ibrav = 0, nat = 12, ntyp = 3
/
ATOMIC_SPECIES
Tb 158.93 Tb.upf
Ce 140.12 Ce.upf
Tm 168.93 Tm.upf
CELL_PARAMETERS angstrom
5.967 -2.885 0.000
5.967 2.885 0.000
-5.830 0.000 11.145
ATOMIC_POSITIONS crystal
Tb 0.132 0.132 0.275
Tb 0.253 0.253 0.817
Tb 0.747 0.747 0.183
Tb 0.868 0.868 0.725
Ce 0.500 0.500 0.500
Tm 0.000 0.000 0.500
Tm 0.135 0.135 0.002
Tm 0.293 0.293 0.576
Tm 0.439 0.439 0.174
Tm 0.561 0.561 0.826
Tm 0.707 0.707 0.424
Tm 0.865 0.865 0.998
```

Computed properties:
- crystal system = monoclinic
- energy of formation (eV/atom) = 0.29
- E (Ha/atom) = -0.1602
- DOS at the Fermi energy (states/eV/cell) = 23.6
- polymorph energy (0 for the lowest one) (meV per atom) = 138
- symmetry = C2/m (12)

=====

(2)
The following is a PBE calculation of TbCeTm5 after structural relaxation, from Alexandria. Values from VASP.

The structure in Quantum ESPRESSO input format:
```
&SYSTEM
  ibrav = 0, nat = 14, ntyp = 3
/
ATOMIC_SPECIES
Tb 158.93 Tb.upf
Ce 140.12 Ce.upf
Tm 168.93 Tm.upf
CELL_PARAMETERS angstrom
5.751 -6.032 0.000
5.751 6.032 0.000
-1.959 0.000 6.280
ATOMIC_POSITIONS crystal
Tb 0.000 0.000 0.000
Tb 0.000 0.000 0.500
Ce 0.421 0.579 0.750
Ce 0.579 0.421 0.250
Tm 0.032 0.619 0.735
Tm 0.212 0.313 0.925
Tm 0.282 0.718 0.250
Tm 0.313 0.212 0.425
Tm 0.381 0.968 0.765
Tm 0.619 0.032 0.235
Tm 0.687 0.788 0.575
Tm 0.718 0.282 0.750
Tm 0.788 0.687 0.075
Tm 0.968 0.381 0.265
```

Computed properties:
- crystal system = monoclinic
- energy of formation (eV/atom) = 0.20
- E (Ha/atom) = -0.1655
- DOS at the Fermi energy (states/eV/cell) = 23.9
- symmetry = C2/c (15)

=====

(3)
The following is a PBE calculation of Tb12CeTm7 after structural relaxation, from Alexandria. Values from VASP.

The structure in Quantum ESPRESSO input format:
```
&SYSTEM
  ibrav = 0, nat = 20, ntyp = 3
/
ATOMIC_SPECIES
Tb 158.93 Tb.upf
Ce 140.12 Ce.upf
Tm 168.93 Tm.upf
CELL_PARAMETERS angstrom
-5.671 5.671 5.671
5.671 -5.671 5.671
5.671 5.671 -5.671
ATOMIC_POSITIONS crystal
Tb 0.001 0.739 0.262
Tb 0.261 0.262 0.522
Tb 0.261 0.738 0.999
Tb 0.262 0.001 0.739
Tb 0.262 0.522 0.261
Tb 0.478 0.739 0.738
Tb 0.522 0.261 0.262
Tb 0.738 0.478 0.739
Tb 0.738 0.999 0.261
Tb 0.739 0.262 0.001
Tb 0.739 0.738 0.478
Tb 0.999 0.261 0.738
Ce 0.000 0.000 0.000
Tm 0.000 0.000 0.500
Tm 0.000 0.500 0.000
Tm 0.000 0.500 0.500
Tm 0.500 0.000 0.000
Tm 0.500 0.000 0.500
Tm 0.500 0.500 0.000
Tm 0.500 0.500 0.500
```

Computed properties:
- crystal system = cubic
- energy of formation (eV/atom) = 0.73
- E (Ha/atom) = -0.1436
- DOS at the Fermi energy (states/eV/cell) = 33.3
- polymorph energy (0 for the lowest one) (meV per atom) = 621
- symmetry = Im-3 (204)

=====

(4)
The following is a PBE calculation of Tb3CeTm2 after structural relaxation, from Alexandria. Values from VASP.

The structure in Quantum ESPRESSO input format:
```
&SYSTEM
  ibrav = 0, nat = 12, ntyp = 3
/
ATOMIC_SPECIES
Tb 158.93 Tb.upf
Ce 140.12 Ce.upf
Tm 168.93 Tm.upf
CELL_PARAMETERS angstrom
-2.912 5.560 5.829
2.912 -5.560 5.829
2.912 5.560 -5.829
ATOMIC_POSITIONS crystal
Tb 0.078 0.750 0.328
Tb 0.250 0.250 0.000
Tb 0.422 0.750 0.672
Tb 0.578 0.250 0.328
Tb 0.750 0.750 0.000
Tb 0.922 0.250 0.672
Ce 0.000 0.500 0.500
Ce 0.500 0.000 0.500
Tm 0.170 0.002 0.172
Tm 0.330 0.502 0.832
Tm 0.670 0.498 0.168
Tm 0.830 0.998 0.828
```

Computed properties:
- crystal system = orthorhombic
- energy of formation (eV/atom) = 0.16
- E (Ha/atom) = -0.1705
- DOS at the Fermi energy (states/eV/cell) = 30.7
- polymorph energy (0 for the lowest one) (meV per atom) = 57
- symmetry = Ibam (72)

=====

(5)
The following is a PBE calculation of Tb5Ce2Tm4 after structural relaxation, from Alexandria. Values from VASP.

The structure in Quantum ESPRESSO input format:
```
&SYSTEM
  ibrav = 0, nat = 11, ntyp = 3
/
ATOMIC_SPECIES
Tb 158.93 Tb.upf
Ce 140.12 Ce.upf
Tm 168.93 Tm.upf
CELL_PARAMETERS angstrom
11.463 -1.739 0.000
11.463 1.739 0.000
-1.055 0.000 8.600
ATOMIC_POSITIONS crystal
Tb 0.000 0.000 0.000
Tb 0.264 0.264 0.180
Tb 0.463 0.463 0.651
Tb 0.537 0.537 0.349
Tb 0.736 0.736 0.820
Ce 0.314 0.314 0.562
Ce 0.686 0.686 0.438
Tm 0.099 0.099 0.701
Tm 0.369 0.369 0.946
Tm 0.631 0.631 0.054
Tm 0.901 0.901 0.299
```

Computed properties:
- crystal system = monoclinic
- energy of formation (eV/atom) = 0.11
- E (Ha/atom) = -0.1728
- DOS at the Fermi energy (states/eV/cell) = 22.2
- symmetry = C2/m (12)

=====

(6)
The following is a PBE calculation of TbCeTm2 after structural relaxation, from Alexandria. Values from VASP.

The structure in Quantum ESPRESSO input format:
```
&SYSTEM
  ibrav = 0, nat = 4, ntyp = 3
/
ATOMIC_SPECIES
Tb 158.93 Tb.upf
Ce 140.12 Ce.upf
Tm 168.93 Tm.upf
CELL_PARAMETERS angstrom
1.749 1.010 11.401
-1.749 1.010 11.401
0.000 -2.020 11.401
ATOMIC_POSITIONS crystal
Tb 0.000 0.000 0.000
Ce 0.500 0.500 0.500
Tm 0.249 0.249 0.249
Tm 0.751 0.751 0.751
```

Computed properties:
- crystal system = trigonal
- energy of formation (eV/atom) = 0.05
- E (Ha/atom) = -0.1773
- DOS at the Fermi energy (states/eV/cell) = 7.6
- polymorph energy (0 for the lowest one) (meV per atom) = 12
- symmetry = R-3m (166)